A geometry-optimized Tl3SiRu structure, computed with PBE.

```
5
Lattice="5.225 0.000 0.000 0.000 5.225 0.000 0.000 0.000 5.225" Properties=species:S:1:pos:R:3 pbc="T T T"
Tl 0.000 0.000 2.613
Tl 0.000 2.613 0.000
Tl 2.613 0.000 0.000
Si 0.000 0.000 0.000
Ru 2.613 2.613 2.613
```

Properties
Final energy in eV per atom: -3.1373
Formation energy without anion corrections in eV/atom: 1.222
Excess energy over the best structure of this formula in the dataset in meV/atom: 454